Record 1
40
Lattice="8.343 0.008 0.007 -3.695 7.826 -0.009 -0.988 -1.912 8.474" Properties=species:S:1:pos:R:3 comment="CsGdC2O6 PBE relaxed" spacegroup=P-1 m_tot_mub_per_cell=0.01 energy_ev_per_atom=-7.50 pbc="T T T"
C -2.866 5.278 1.800
C 3.165 2.690 1.994
C 0.375 6.229 2.182
C -1.134 1.731 2.435
C 4.795 4.191 6.037
C 3.286 -0.307 6.290
C 0.496 3.232 6.478
C 6.527 0.643 6.672
Cs 1.864 0.159 0.343
Cs 2.869 5.470 4.017
Cs 0.791 0.452 4.455
Cs 1.797 5.762 8.128
Gd 0.211 3.996 0.401
Gd 4.819 1.370 3.887
Gd -1.158 4.552 4.585
Gd 3.449 1.925 8.071
O 0.561 6.266 0.904
O -2.035 4.693 0.980
O 2.435 3.227 1.068
O 4.283 5.506 1.361
O -0.295 2.021 1.518
O 4.452 2.595 1.765
O 6.613 0.591 2.494
O 0.272 5.030 2.720
O 3.989 -0.534 2.898
O -2.524 5.626 2.992
O 2.708 2.248 3.108
O -1.426 2.568 3.401
O 5.087 3.353 5.071
O 0.952 3.674 5.364
O 6.184 0.296 5.480
O -0.328 6.456 5.574
O 3.388 0.892 5.751
O -2.953 5.331 5.978
O -0.792 3.327 6.707
O 3.956 3.901 6.954
O -0.622 0.416 7.110
O 1.226 2.695 7.404
O 5.695 1.228 7.492
O 3.099 -0.344 7.568

Record 2
8
Lattice="4.039 0.000 0.000 -2.019 3.498 0.000 0.000 0.000 14.246" Properties=species:S:1:pos:R:3 comment="CsGd2CS4 PBE relaxed" spacegroup=P-6m2 m_tot_mub_per_cell=1.01 energy_ev_per_atom=-5.13 pbc="T T T"
C 0.000 0.000 0.000
Cs 0.000 2.332 7.123
Gd 2.019 1.166 3.029
Gd 2.019 1.166 11.218
S 0.000 2.332 1.555
S 0.000 0.000 4.554
S 0.000 0.000 9.692
S 0.000 2.332 12.691